ZrAl2Rh after structural relaxation, computed with PBE.

Values from the calculation:
VASP energy: -25.7 eV per cell
ΔE_f: -0.591 eV/atom
density of states at the Fermi level: 2.70 states/eV/cell
M_tot: 0.00 μB per cell

a b c (Å): 4.5475 4.5475 4.5475
angles (deg): 60.00 60.00 60.00
Element x y z (fractional)
Zr  0.0000  0.0000  0.0000
Al  0.2500  0.2500  0.2500
Al  0.5000  0.5000  0.5000
Rh  0.7500  0.7500  0.7500

---

ZrAl2Rh after structural relaxation, computed with PBE.

Values from the calculation:
VASP energy: -211.4 eV per cell
ΔE_f: -0.761 eV/atom
density of states at the Fermi level: 21.49 states/eV/cell
M_tot: 0.00 μB per cell

a b c (Å): 15.3481 6.6897 5.3401
angles (deg): 90.00 90.00 90.00
Element x y z (fractional)
Zr  0.1065  0.2500  0.2265
Zr  0.1424  0.7500  0.4628
Zr  0.3576  0.2500  0.9628
Zr  0.3935  0.7500  0.7265
Zr  0.6065  0.2500  0.2735
Zr  0.6424  0.7500  0.0372
Zr  0.8576  0.2500  0.5372
Zr  0.8935  0.7500  0.7735
Al  0.0337  0.0501  0.7309
Al  0.0337  0.4499  0.7309
Al  0.2147  0.5508  0.9538
Al  0.2147  0.9492  0.9538
Al  0.2853  0.0508  0.4538
Al  0.2853  0.4492  0.4538
Al  0.4663  0.5501  0.2309
Al  0.4663  0.9499  0.2309
Al  0.5337  0.0501  0.7691
Al  0.5337  0.4499  0.7691
Al  0.7147  0.5508  0.5462
Al  0.7147  0.9492  0.5462
Al  0.7853  0.0508  0.0462
Al  0.7853  0.4492  0.0462
Al  0.9663  0.5501  0.2691
Al  0.9663  0.9499  0.2691
Rh  0.0722  0.7500  0.9924
Rh  0.1751  0.2500  0.7039
Rh  0.3249  0.7500  0.2039
Rh  0.4278  0.2500  0.4924
Rh  0.5722  0.7500  0.5076
Rh  0.6751  0.2500  0.7961
Rh  0.8249  0.7500  0.2961
Rh  0.9278  0.2500  0.0076

---

ZrAlRh5 after structural relaxation, computed with PBE.

Values from the calculation:
VASP energy: -52.4 eV per cell
ΔE_f: -0.477 eV/atom
density of states at the Fermi level: 7.77 states/eV/cell
M_tot: 0.00 μB per cell

a b c (Å): 4.0958 4.0958 6.5720
angles (deg): 90.00 90.00 90.00
Element x y z (fractional)
Zr  0.0000  0.0000  0.0000
Al  0.5000  0.5000  0.5000
Rh  0.0000  0.5000  0.2853
Rh  0.0000  0.5000  0.7147
Rh  0.5000  0.0000  0.2853
Rh  0.5000  0.0000  0.7147
Rh  0.5000  0.5000  0.0000